No. 1
Computed, not measured: crystalline CaAcNi4 at its relaxed geometry at the PBE level of DFT.

offset from the most stable computed form = 36 meV/atom
SG = No. 164
E = -5.03 eV/atom

abc: 5.2065 5.2065 8.6793
angles: 90.00 90.00 120.00
Last column: nearest neighbours and their distance in Å.
Atoms (fractional coordinates):
Ni 0.6752 0.8376 0.7432  6 Ni 2.54-2.67
Ni 0.8376 0.1624 0.2568  6 Ni 2.54-2.67
Ac 0.6667 0.3333 0.9153  12 Ni 3.00-3.34, 1 Ca 3.21, 3 Ac 3.35
Ca 0.3333 0.6667 0.4550  12 Ni 2.94-3.12, 3 Ca 3.11, 1 Ac 3.21
Ni 0.0000 0.0000 0.5000  6 Ni 2.57
Ni 0.1624 0.3248 0.7432  6 Ni 2.54-2.67
Ni 0.3248 0.1624 0.2568  6 Ni 2.54-2.67
Ni 0.0000 0.0000 0.0000  6 Ni 2.67
Ni 0.1624 0.8376 0.7432  6 Ni 2.54-2.67
Ca 0.6667 0.3333 0.5450  12 Ni 2.94-3.12, 3 Ca 3.11, 1 Ac 3.21
Ac 0.3333 0.6667 0.0847  12 Ni 3.00-3.34, 1 Ca 3.21, 3 Ac 3.35
Ni 0.8376 0.6752 0.2568  6 Ni 2.54-2.67


No. 2
Computed, not measured: crystalline CaAc2Ni at its relaxed geometry at the PBE level of DFT.

offset from the most stable computed form = 0 meV/atom
SG = No. 62
E = -4.11 eV/atom

abc: 6.7488 7.5849 10.5922
angles: 90.00 90.00 90.00
Last column: nearest neighbours and their distance in Å.
Atoms (fractional coordinates):
Ac 0.3219 0.1714 0.0709  2 Ni 2.96-2.99
Ca 0.6610 0.5440 0.2500  2 Ni 3.05-3.06
Ac 0.6781 0.8286 0.9291  2 Ni 2.96-2.99
Ni 0.4217 0.8852 0.2500  4 Ac 2.96-2.99, 2 Ca 3.05-3.06
Ac 0.6781 0.8286 0.5709  2 Ni 2.96-2.99
Ac 0.1781 0.6714 0.0709  2 Ni 2.96-2.99
Ac 0.1781 0.6714 0.4291  2 Ni 2.96-2.99
Ac 0.3219 0.1714 0.4291  2 Ni 2.96-2.99
Ni 0.5783 0.1148 0.7500  4 Ac 2.96-2.99, 2 Ca 3.05-3.06
Ni 0.9217 0.6148 0.7500  4 Ac 2.96-2.99, 2 Ca 3.05-3.06
Ca 0.8390 0.0440 0.2500  2 Ni 3.05-3.06
Ca 0.1610 0.9560 0.7500  2 Ni 3.05-3.06
Ni 0.0783 0.3852 0.2500  4 Ac 2.96-2.99, 2 Ca 3.05-3.06
Ac 0.8219 0.3286 0.5709  2 Ni 2.96-2.99
Ca 0.3390 0.4560 0.7500  2 Ni 3.05-3.06
Ac 0.8219 0.3286 0.9291  2 Ni 2.96-2.99


No. 3
Computed, not measured: crystalline Ca3AcNi at its relaxed geometry at the PBE level of DFT.

offset from the most stable computed form = 77 meV/atom
SG = No. 221
E = -3.14 eV/atom

abc: 5.6039 5.6039 5.6039
angles: 90.00 90.00 90.00
Last column: nearest neighbours and their distance in Å.
Atoms (fractional coordinates):
Ni 0.0000 0.0000 0.0000  6 Ca 2.80
Ca 0.5000 0.0000 0.0000  2 Ni 2.80
Ac 0.5000 0.5000 0.5000  12 Ca 3.96
Ca 0.0000 0.0000 0.5000  2 Ni 2.80
Ca 0.0000 0.5000 0.0000  2 Ni 2.80


No. 4
Computed, not measured: crystalline CaAc3Ni8 at its relaxed geometry at the PBE level of DFT.

SG = No. 160
E = -5.22 eV/atom

abc: 5.2772 5.2772 9.2087
angles: 73.35 73.35 60.00
Last column: nearest neighbours and their distance in Å.
Atoms (fractional coordinates):
Ni 0.9391 0.9391 0.6840  6 Ni 2.63-2.69
Ni 0.6871 0.6871 0.9388  6 Ni 2.67-2.69
Ni 0.4350 0.4350 0.1906  6 Ni 2.61-2.67
Ni 0.4350 0.9395 0.1906  6 Ni 2.61-2.67
Ca 0.8725 0.8725 0.3825  12 Ni 3.03-3.12, 4 Ac 3.18-3.19
Ac 0.3775 0.3775 0.8675  12 Ni 3.08-3.19, 4 Ac 3.31
Ni 0.1882 0.1882 0.4353  6 Ni 2.61-2.64
Ni 0.4378 0.9391 0.6840  6 Ni 2.63-2.69
Ac 0.5046 0.5046 0.4861  12 Ni 2.99-3.15, 3 Ca 3.18, 1 Ac 3.31
Ni 0.9391 0.4378 0.6840  6 Ni 2.63-2.69
Ac 0.9947 0.9947 0.0160  12 Ni 3.04-3.26, 1 Ca 3.19, 3 Ac 3.31
Ni 0.9395 0.4350 0.1906  6 Ni 2.61-2.67


No. 5
Computed, not measured: crystalline Ca2AcNi at its relaxed geometry at the PBE level of DFT.

offset from the most stable computed form = 0 meV/atom
SG = No. 11
E = -3.58 eV/atom

abc: 3.9847 6.7718 10.0934
angles: 90.00 90.00 107.06
Last column: nearest neighbours and their distance in Å.
Atoms (fractional coordinates):
Ca 0.6472 0.2940 0.4278  2 Ni 3.04-3.05
Ni 0.7410 0.4839 0.7500  2 Ac 2.83, 4 Ca 3.04-3.05
Ca 0.6472 0.2940 0.0722  2 Ni 3.04-3.05
Ni 0.2590 0.5161 0.2500  2 Ac 2.83, 4 Ca 3.04-3.05
Ac 0.9137 0.8267 0.2500  2 Ni 2.83
Ca 0.3528 0.7060 0.9278  2 Ni 3.04-3.05
Ca 0.3528 0.7060 0.5722  2 Ni 3.04-3.05
Ac 0.0863 0.1733 0.7500  2 Ni 2.83


No. 6
Computed, not measured: crystalline CaAcNi at its relaxed geometry at the PBE level of DFT.

offset from the most stable computed form = 31 meV/atom
SG = No. 107
E = -4.02 eV/atom

abc: 3.6572 3.6572 7.1984
angles: 104.72 104.72 90.00
Last column: nearest neighbours and their distance in Å.
Atoms (fractional coordinates):
Ca 0.0378 0.0378 0.0755  4 Ni 3.15, 1 Ac 3.40
Ni 0.6711 0.6711 0.3422  4 Ac 3.05, 4 Ca 3.15
Ac 0.2911 0.2911 0.5823  4 Ni 3.05, 1 Ca 3.40


No. 7
Computed, not measured: crystalline Ca2Ac7Ni2 at its relaxed geometry at the PBE level of DFT.

SG = No. 44
E = -4.09 eV/atom

abc: 3.9548 11.3141 11.3141
angles: 58.54 79.93 79.93
Last column: nearest neighbours and their distance in Å.
Atoms (fractional coordinates):
Ac 0.8263 0.0768 0.2706  2 Ni 2.99
Ac 0.1737 0.7294 0.9232  2 Ni 2.99
Ni 0.2799 0.3090 0.1312  6 Ac 2.96-2.99
Ac 0.1569 0.0998 0.5864  2 Ni 2.97
Ac 0.8431 0.4136 0.9002  2 Ni 2.97
Ac 0.6664 0.4266 0.2406  2 Ni 2.96
Ca 0.5000 0.4044 0.5956  7 Ac 3.84-3.99, 4 Ca 3.95-4.04
Ac 0.3336 0.7594 0.5734  2 Ni 2.96
Ac 0.5000 0.0433 0.9567  10 Ac 3.95-4.32, 3 Ca 3.99-4.06, 2 Ni 4.29
Ni 0.7201 0.8688 0.6910  6 Ac 2.96-2.99
Ca 0.0000 0.7229 0.2771  8 Ac 3.91-4.06, 4 Ca 3.95-4.04


No. 8
Computed, not measured: crystalline CaAcNi at its relaxed geometry at the PBE level of DFT.

offset from the most stable computed form = 75 meV/atom
SG = No. 216
E = -3.98 eV/atom

abc: 5.0671 5.0671 5.0671
angles: 60.00 60.00 60.00
Last column: nearest neighbours and their distance in Å.
Atoms (fractional coordinates):
Ni 0.2500 0.2500 0.2500  4 Ac 3.10, 4 Ca 3.10
Ac 0.0000 0.0000 0.0000  4 Ni 3.10
Ca 0.5000 0.5000 0.5000  4 Ni 3.10